Record 1
! In4Te3I (PBE, optimized geometry); values from VASP
&SYSTEM
  ibrav = 0, nat = 8, ntyp = 3
/
ATOMIC_SPECIES
In 114.82 In.upf
Te 127.60 Te.upf
I 126.90 I.upf
ATOMIC_POSITIONS crystal
In 0.0000 0.0000 0.0000
In 0.0000 0.4739 0.0001
In 0.7164 0.1887 0.4376
In 0.7185 0.7218 0.4379
Te 0.1406 0.3782 0.2830
Te 0.4275 0.1637 0.8536
Te 0.5582 0.7958 0.1178
I 0.8621 0.5975 0.7220
CELL_PARAMETERS angstrom
4.1756 0.0000 0.0000
-0.0040 7.4610 0.0000
-2.0685 -3.7250 9.1491
! - Total magnetic moment: 0.00 μB per cell
! - Uncorrected formation energy: -257 meV per atom
! - ρ: 5.64 g cm⁻³

---

Record 2
! ErGa3B4O12 (PBE, optimized geometry); values from VASP
&SYSTEM
  ibrav = 0, nat = 20, ntyp = 4
/
ATOMIC_SPECIES
Er 167.26 Er.upf
Ga 69.72 Ga.upf
B 10.81 B.upf
O 16.00 O.upf
ATOMIC_POSITIONS crystal
Er 0.0000 0.0000 0.0000
Ga 0.0000 0.5495 0.4505
Ga 0.4505 0.0000 0.5495
Ga 0.5495 0.4505 0.0000
B 0.0519 0.5000 0.9481
B 0.5000 0.5000 0.5000
B 0.5000 0.9481 0.0519
B 0.9481 0.0519 0.5000
O 0.0284 0.6340 0.7932
O 0.0930 0.9070 0.5000
O 0.2068 0.3660 0.9716
O 0.3548 0.6452 0.5000
O 0.3660 0.9716 0.2068
O 0.5000 0.0930 0.9070
O 0.5000 0.3548 0.6452
O 0.6340 0.7932 0.0284
O 0.6452 0.5000 0.3548
O 0.7932 0.0284 0.6340
O 0.9070 0.5000 0.0930
O 0.9716 0.2068 0.3660
CELL_PARAMETERS angstrom
4.7661 2.7517 2.5058
-4.7661 2.7517 2.5058
0.0000 -5.5035 2.5058
! - Total magnetic moment: 0.00 μB per cell
! - Uncorrected formation energy: -2366 meV per atom
! - ρ: 5.15 g cm⁻³

---

Record 3
! Ce6InSe12 (PBE, optimized geometry); values from VASP
&SYSTEM
  ibrav = 0, nat = 19, ntyp = 3
/
ATOMIC_SPECIES
Ce 140.12 Ce.upf
In 114.82 In.upf
Se 78.96 Se.upf
ATOMIC_POSITIONS crystal
Ce 0.1222 0.6340 0.8022
Ce 0.1978 0.8778 0.3660
Ce 0.3660 0.1978 0.8778
Ce 0.6340 0.8022 0.1222
Ce 0.8022 0.1222 0.6340
Ce 0.8778 0.3660 0.1978
In 0.5000 0.5000 0.5000
Se 0.0709 0.3233 0.9226
Se 0.0774 0.9291 0.6767
Se 0.1788 0.5465 0.4403
Se 0.3233 0.9226 0.0709
Se 0.4403 0.1788 0.5465
Se 0.4535 0.5597 0.8212
Se 0.5465 0.4403 0.1788
Se 0.5597 0.8212 0.4535
Se 0.6767 0.0774 0.9291
Se 0.8212 0.4535 0.5597
Se 0.9226 0.0709 0.3233
Se 0.9291 0.6767 0.0774
CELL_PARAMETERS angstrom
6.4164 3.7045 3.9050
-6.4164 3.7045 3.9050
0.0000 -7.4090 3.9050
! - Total magnetic moment: 3.12 μB per cell
! - Uncorrected formation energy: -1552 meV per atom
! - ρ: 5.67 g cm⁻³

---

Record 4
! IrRu (PBE, optimized geometry); values from VASP
&SYSTEM
  ibrav = 0, nat = 2, ntyp = 2
/
ATOMIC_SPECIES
Ir 192.22 Ir.upf
Ru 101.07 Ru.upf
ATOMIC_POSITIONS crystal
Ir 0.0000 0.0000 0.0000
Ru 0.3333 0.6667 0.5000
CELL_PARAMETERS angstrom
2.7418 0.0000 0.0000
-1.3709 2.3744 0.0000
0.0000 0.0000 4.3613
! - Total magnetic moment: 0.00 μB per cell
! - ΔE to the lowest computed polymorph: 25.3 meV per atom
! - ρ: 17.15 g cm⁻³
! - Energy relative to the elements: -0.030 eV/atom

---

Among the records above, which one has the highest total magnetic moment? Ce6InSe12

---

The highest ρ belongs to which entry? IrRu

---

What is the formula in the second record? ErGa3B4O12

---

What did the third record say?
! Ce6InSe12 (PBE, optimized geometry); values from VASP
&SYSTEM
  ibrav = 0, nat = 19, ntyp = 3
/
ATOMIC_SPECIES
Ce 140.12 Ce.upf
In 114.82 In.upf
Se 78.96 Se.upf
ATOMIC_POSITIONS crystal
Ce 0.1222 0.6340 0.8022
Ce 0.1978 0.8778 0.3660
Ce 0.3660 0.1978 0.8778
Ce 0.6340 0.8022 0.1222
Ce 0.8022 0.1222 0.6340
Ce 0.8778 0.3660 0.1978
In 0.5000 0.5000 0.5000
Se 0.0709 0.3233 0.9226
Se 0.0774 0.9291 0.6767
Se 0.1788 0.5465 0.4403
Se 0.3233 0.9226 0.0709
Se 0.4403 0.1788 0.5465
Se 0.4535 0.5597 0.8212
Se 0.5465 0.4403 0.1788
Se 0.5597 0.8212 0.4535
Se 0.6767 0.0774 0.9291
Se 0.8212 0.4535 0.5597
Se 0.9226 0.0709 0.3233
Se 0.9291 0.6767 0.0774
CELL_PARAMETERS angstrom
6.4164 3.7045 3.9050
-6.4164 3.7045 3.9050
0.0000 -7.4090 3.9050
! - Total magnetic moment: 3.12 μB per cell
! - Uncorrected formation energy: -1552 meV per atom
! - ρ: 5.67 g cm⁻³